(1)
Material: LaPmSmS3
Method: DFT, GGA-PBE
State: relaxed

Calculated values
As for the formation energy (no corrections): -1995 meV/atom. Its space group is P2_1/m.

a b c (Å): 3.979 7.017 10.617
angles (deg): 102.50 90.00 90.00
Fractional positions:
Pm (0.250, 0.125, 0.631)
Pm (0.750, 0.875, 0.369)
La (0.250, 0.348, 0.306)
La (0.750, 0.652, 0.694)
Sm (0.750, 0.233, 0.945)
Sm (0.250, 0.767, 0.055)
S (0.250, 0.721, 0.504)
S (0.250, 0.453, 0.839)
S (0.250, 0.946, 0.843)
S (0.750, 0.547, 0.161)
S (0.750, 0.279, 0.496)
S (0.750, 0.054, 0.157)

(2)
Material: KAuBr4O2
Method: DFT, GGA-PBE
State: relaxed

Calculated values
As for the formation energy (no corrections): -335 meV/atom. Its space group is P2_1/c.

a b c (Å): 13.400 4.392 9.162
angles (deg): 85.61 90.00 90.00
Fractional positions:
Br (0.134, 0.076, 0.196)
Br (0.120, 0.292, 0.840)
Br (0.380, 0.292, 0.340)
Br (0.866, 0.924, 0.804)
Br (0.620, 0.708, 0.660)
Br (0.366, 0.076, 0.696)
Br (0.880, 0.708, 0.160)
Br (0.634, 0.924, 0.304)
O (0.414, 0.014, 0.873)
O (0.086, 0.014, 0.373)
O (0.914, 0.986, 0.627)
O (0.586, 0.986, 0.127)
K (0.000, 0.500, 0.500)
K (0.500, 0.500, 0.000)
Au (0.000, 0.000, 0.000)
Au (0.500, 0.000, 0.500)

(3)
Material: Mg2InRh
Method: DFT, GGA-PBE
State: relaxed

Calculated values
For the energy of formation from the pure elements, the calculation gives -313 meV per atom. Its space group is Immm.

a b c (Å): 5.243 5.243 5.243
angles (deg): 136.92 131.41 66.93
Fractional positions:
Rh (0.750, 0.250, 0.500)
Mg (0.988, 0.988, 0.000)
Mg (0.512, 0.512, 0.000)
In (0.250, 0.750, 0.500)

(4)
Material: Mn2CoOs
Method: DFT, GGA-PBE
State: relaxed

Calculated values
For the energy of formation from the pure elements, the calculation gives 233 meV per atom. Its space group is Cmmm.

a b c (Å): 2.609 2.609 8.229
angles (deg): 90.00 90.00 113.53
Fractional positions:
Co (0.500, 0.500, 0.750)
Mn (0.000, 0.000, 0.510)
Mn (0.000, 0.000, 0.990)
Os (0.500, 0.500, 0.250)

(5)
Material: Li2SbPb
Method: DFT, GGA-PBE
State: relaxed

Calculated values
As for the formation energy (no corrections): -312 meV/atom. Its space group is I-4m2.

a b c (Å): 5.752 5.752 5.752
angles (deg): 135.56 135.56 64.66
Fractional positions:
Pb (0.500, 0.500, 0.000)
Li (0.250, 0.750, 0.500)
Li (0.000, 0.000, 0.000)
Sb (0.750, 0.250, 0.500)

(6)
Material: Tb5Sn4
Method: DFT, GGA-PBE
State: relaxed

Calculated values
For the energy of formation from the pure elements, the calculation gives -413 meV per atom. Its space group is I4/m.

a b c (Å): 6.173 7.408 7.408
angles (deg): 80.00 65.38 65.38
Fractional positions:
Tb (0.898, 0.370, 0.835)
Tb (0.500, 0.000, 0.000)
Tb (0.102, 0.630, 0.165)
Tb (0.732, 0.165, 0.370)
Tb (0.268, 0.835, 0.630)
Sn (0.187, 0.231, 0.395)
Sn (0.582, 0.605, 0.231)
Sn (0.418, 0.395, 0.769)
Sn (0.813, 0.769, 0.605)

(7)
Material: Bi8Ir2Pd
Method: DFT, GGA-PBE
State: relaxed

Calculated values
For the energy of formation from the pure elements, the calculation gives 174 meV per atom. Its space group is C2/m.

a b c (Å): 5.485 7.901 7.901
angles (deg): 84.77 89.80 89.80
Fractional positions:
Bi (0.735, 0.132, 0.708)
Bi (0.265, 0.868, 0.292)
Bi (0.749, 0.560, 0.560)
Bi (0.735, 0.708, 0.132)
Bi (0.255, 0.788, 0.788)
Bi (0.265, 0.292, 0.868)
Bi (0.745, 0.212, 0.212)
Bi (0.251, 0.440, 0.440)
Ir (0.745, 0.787, 0.787)
Ir (0.255, 0.213, 0.213)
Pd (0.000, 0.000, 0.000)

(8)
Material: SrLiAcIr
Method: DFT, GGA-PBE
State: relaxed

Calculated values
For the energy of formation from the pure elements, the calculation gives -276 meV per atom. Its space group is R3m.

a b c (Å): 4.388 4.388 8.027
angles (deg): 90.01 105.86 119.99
Fractional positions:
Li (0.514, 0.622, 0.136)
Ir (0.822, 0.275, 0.097)
Sr (0.348, 0.039, 0.387)
Ac (0.008, 0.869, 0.877)

The records above give, respectively, M_tot values of 0.00, 0.00, 0.00, 6.91, 0.00, 0.00, 0.00, 0.00 μB/f.u..